1.
# ZnSbW2

Crystalline ZnSbW2 at its relaxed geometry (PBE-GGA, Alexandria).

Unit cell a=3.401 b=3.401 c=5.933 alpha=90.00 beta=90.00 gamma=90.00
Positions (direct):
Zn  0.000  0.000  0.000
Sb  0.000  0.000  0.500
W  0.500  0.500  0.216
W  0.500  0.500  0.784

Output
- Final energy: -7.154 eV/atom
- Crystal system: tetragonal
- E above lowest polymorph: 0.355 eV per atom
- Raw formation energy: 0.67 eV per atom
- Size of the total moment: 0.000 μB/atom

---

2.
# SbTeN2Cl

Crystalline SbTeN2Cl at its relaxed geometry (PBE-GGA, Alexandria).

Unit cell a=4.270 b=4.270 c=5.249 alpha=90.00 beta=90.00 gamma=90.00
Positions (direct):
Sb  0.000  0.000  0.000
Te  0.500  0.500  0.000
N  0.000  0.500  0.500
N  0.500  0.000  0.500
Cl  0.500  0.500  0.500

Output
- Final energy: -3.086 eV/atom
- Crystal system: tetragonal
- E above lowest polymorph: 0.867 eV per atom
- Raw formation energy: 2.07 eV per atom
- Size of the total moment: 0.302 μB/atom